(1)
Here is Tb2Sm8Y after structural relaxation from the Alexandria database. Energies are from PBE.

The structure in POSCAR format:
```
Tb2Sm8Y
1.0
8.372 -3.381 0.000
8.372 3.381 0.000
-1.173 0.000 6.599
Tb Sm Y
2 8 1
Direct
0.200 0.200 0.304 Tb
0.800 0.800 0.696 Tb
0.174 0.649 0.094 Sm
0.244 0.244 0.815 Sm
0.351 0.826 0.906 Sm
0.409 0.409 0.590 Sm
0.591 0.591 0.410 Sm
0.649 0.174 0.094 Sm
0.756 0.756 0.185 Sm
0.826 0.351 0.906 Sm
0.000 0.000 0.500 Y
```

Computed properties:
Energy relative to the elements, eV/f.u.: 1.8
SG: C2/m
Fermi-level density of states, states/eV/cell: 17.8


(2)
Here is ScSeBr after structural relaxation from the Alexandria database. Energies are from PBE.

The structure in POSCAR format:
```
ScSeBr
1.0
7.855 0.000 0.000
0.000 7.855 0.000
0.000 0.000 5.417
Sc Se Br
4 4 4
Direct
0.000 0.251 0.000 Sc
0.000 0.749 0.000 Sc
0.251 0.000 0.500 Sc
0.749 0.000 0.500 Sc
0.000 0.238 0.500 Se
0.000 0.762 0.500 Se
0.238 0.000 0.000 Se
0.762 0.000 0.000 Se
0.233 0.500 0.000 Br
0.500 0.233 0.500 Br
0.500 0.767 0.500 Br
0.767 0.500 0.000 Br
```

Computed properties:
SG: P4_2/mmc
E_form (uncorrected), eV per formula unit: -5.11


(3)
Here is TbY5Er12 after structural relaxation from the Alexandria database. Energies are from PBE.

The structure in POSCAR format:
```
TbY5Er12
1.0
7.476 -7.497 0.000
7.476 7.497 0.000
0.000 0.000 4.985
Tb Y Er
1 5 12
Direct
0.000 0.000 0.000 Tb
0.166 0.834 0.500 Y
0.333 0.667 0.000 Y
0.500 0.500 0.500 Y
0.667 0.333 0.000 Y
0.834 0.166 0.500 Y
0.001 0.334 0.000 Er
0.165 0.499 0.500 Er
0.168 0.168 0.500 Er
0.332 0.332 0.000 Er
0.334 0.001 0.000 Er
0.499 0.165 0.500 Er
0.501 0.835 0.500 Er
0.666 0.999 0.000 Er
0.668 0.668 0.000 Er
0.832 0.832 0.500 Er
0.835 0.501 0.500 Er
0.999 0.666 0.000 Er
```

Computed properties:
Energy relative to the elements, eV/f.u.: 0.5
SG: Cmmm
Fermi-level density of states, states/eV/cell: 25.6


(4)
Here is PrSmAl6 after structural relaxation from the Alexandria database. Energies are from PBE.

The structure in POSCAR format:
```
PrSmAl6
1.0
6.472 0.000 0.000
-3.236 5.605 0.000
0.000 0.000 4.653
Pr Sm Al
1 1 6
Direct
0.000 0.000 0.000 Pr
0.667 0.333 0.500 Sm
0.049 0.524 0.000 Al
0.193 0.385 0.500 Al
0.193 0.807 0.500 Al
0.476 0.524 0.000 Al
0.476 0.951 0.000 Al
0.615 0.807 0.500 Al
```

Computed properties:
Energy relative to the elements, eV/f.u.: -3.5
SG: P-6m2
Fermi-level density of states, states/eV/cell: 2.9


(5)
Here is Np2Ge3Pd5 after structural relaxation from the Alexandria database. Energies are from PBE.

The structure in POSCAR format:
```
Np2Ge3Pd5
1.0
2.192 -12.124 0.000
2.192 12.124 0.000
0.000 0.000 6.784
Np Ge Pd
4 6 10
Direct
0.015 0.985 0.500 Np
0.329 0.671 0.482 Np
0.671 0.329 0.982 Np
0.985 0.015 0.000 Np
0.106 0.894 0.799 Ge
0.278 0.722 0.910 Ge
0.444 0.556 0.701 Ge
0.556 0.444 0.201 Ge
0.722 0.278 0.410 Ge
0.894 0.106 0.299 Ge
0.111 0.889 0.222 Pd
0.199 0.801 0.631 Pd
0.228 0.772 0.224 Pd
0.377 0.623 0.000 Pd
0.451 0.549 0.310 Pd
0.549 0.451 0.810 Pd
0.623 0.377 0.500 Pd
0.772 0.228 0.724 Pd
0.801 0.199 0.131 Pd
0.889 0.111 0.722 Pd
```

Computed properties:
Energy relative to the elements, eV/f.u.: -4.3
SG: Cmc2_1
Fermi-level density of states, states/eV/cell: 42.8


(6)
Here is Er2TlOsO8 after structural relaxation from the Alexandria database. Energies are from PBE.

The structure in POSCAR format:
```
Er2TlOsO8
1.0
3.400 -3.535 0.000
3.400 3.535 0.000
0.000 0.000 7.000
Er Tl Os O
2 1 1 8
Direct
0.000 0.000 0.248 Er
0.000 0.000 0.752 Er
0.500 0.500 0.500 Tl
0.500 0.500 0.000 Os
0.194 0.194 0.500 O
0.221 0.221 0.000 O
0.314 0.686 0.198 O
0.314 0.686 0.802 O
0.686 0.314 0.198 O
0.686 0.314 0.802 O
0.779 0.779 0.000 O
0.806 0.806 0.500 O
```

Computed properties:
SG: Cmmm
Fermi-level density of states, states/eV/cell: 4.1
E_form (uncorrected), eV per formula unit: -23.68


(7)
Here is BePSe after structural relaxation from the Alexandria database. Energies are from PBE.

The structure in POSCAR format:
```
BePSe
1.0
0.000 2.213 7.069
1.701 0.000 7.069
1.701 2.213 0.000
Be P Se
1 1 1
Direct
0.000 0.000 0.000 Be
0.393 0.393 0.607 P
0.626 0.626 0.374 Se
```

Computed properties:
SG: Fmm2
Fermi-level density of states, states/eV/cell: 0.3
E_form (uncorrected), eV per formula unit: 1.15


(8)
Here is Ba2MgRuN after structural relaxation from the Alexandria database. Energies are from PBE.

The structure in POSCAR format:
```
Ba2MgRuN
1.0
5.918 0.000 0.000
0.000 5.918 0.000
0.000 0.000 3.854
Ba Mg Ru N
2 1 1 1
Direct
0.000 0.500 0.000 Ba
0.500 0.000 0.000 Ba
0.000 0.000 0.500 Mg
0.500 0.500 0.500 Ru
0.500 0.500 0.000 N
```

Computed properties:
SG: P4/mmm
Fermi-level density of states, states/eV/cell: 3.5
E_form (uncorrected), eV per formula unit: -0.83


Number 1: E -4.70 eV/atom, M_tot 0.00 μB/cell. Number 2: E -5.53 eV/atom, M_tot 0.00 μB/cell. Number 3: E -5.07 eV/atom, M_tot 0.00 μB/cell. Number 4: E -4.44 eV/atom, M_tot 0.00 μB/cell. Number 5: E -7.00 eV/atom, M_tot 15.36 μB/cell. Number 6: E -7.17 eV/atom, M_tot 1.01 μB/cell. Number 7: E -3.83 eV/atom, M_tot 0.00 μB/cell. Number 8: E -4.77 eV/atom, M_tot 0.00 μB/cell.